(1)
A plane-wave DFT calculation with GGA-PBE was carried out for a relaxed structure of BAsPtBr2.

Summary:
Its space group is No. 123. As for the formation energy from raw total energies: 1.079 eV/atom. The distance to the lowest polymorph of the same formula is 0.00 eV/f.u. For the final energy, the calculation gives -3.064 eV/atom.

Cell lengths 4.475, 4.475, 4.651 Å; angles 90.00, 90.00, 90.00 degrees
Atoms (fractional coordinates):
As  0.000  0.000  0.500
B  0.000  0.000  0.000
Br  0.000  0.500  0.000
Br  0.500  0.000  0.000
Pt  0.500  0.500  0.500

(2)
A plane-wave DFT calculation with GGA-PBE was carried out for a relaxed structure of PrTmMg2Hg4.

Summary:
Its space group is No. 166. The calculation puts the energy relative to the elements at -44 kJ/mol of atoms. For the final energy, the calculation gives -2.158 eV/atom.

Cell lengths 5.099, 5.099, 8.932 Å; angles 73.41, 73.41, 60.00 degrees
Atoms (fractional coordinates):
Pr  0.000  0.000  0.000
Tm  0.500  0.500  0.500
Mg  0.751  0.751  0.748
Mg  0.249  0.249  0.252
Hg  0.380  0.380  0.860
Hg  0.872  0.872  0.385
Hg  0.128  0.128  0.615
Hg  0.620  0.620  0.140

(3)
A plane-wave DFT calculation with GGA-PBE was carried out for a relaxed structure of CdPS2F.

Summary:
Its space group is No. 123. As for the formation energy from raw total energies: 0.478 eV/atom. The distance to the lowest polymorph of the same formula is 0.00 eV/f.u. For the final energy, the calculation gives -2.812 eV/atom.

Cell lengths 5.084, 5.084, 3.668 Å; angles 90.00, 90.00, 90.00 degrees
Atoms (fractional coordinates):
P  0.000  0.000  0.500
S  0.000  0.500  0.000
S  0.500  0.000  0.000
F  0.000  0.000  0.000
Cd  0.500  0.500  0.500

(4)
A plane-wave DFT calculation with GGA-PBE was carried out for a relaxed structure of Cs2SnAsI6.

Summary:
Its space group is No. 139. As for the formation energy from raw total energies: -0.768 eV/atom. For the final energy, the calculation gives -2.734 eV/atom.

Cell lengths 8.602, 8.602, 8.601 Å; angles 60.00, 60.00, 90.00 degrees
Atoms (fractional coordinates):
Cs  0.750  0.250  0.500
Cs  0.250  0.750  0.500
I  0.257  0.257  0.485
I  0.743  0.743  0.515
I  0.256  0.256  0.000
I  0.744  0.744  0.000
I  0.744  0.256  0.000
I  0.256  0.744  0.000
As  0.500  0.500  0.000
Sn  0.000  0.000  0.000

no.,V (Å³/cell)
1,93.1
2,189.9
3,94.8
4,450.0